# 1
Material: Ac5SnGe4
Method: DFT, PBE
State: relaxed

Summary:
Formation enthalpy at 0 K   -0.562 eV/atom
Crystal system   tetragonal

Geometry as POSCAR:
```
Ac5SnGe4
1.0
3.744 0.000 0.000
0.000 3.744 0.000
0.000 0.000 21.593
Ac Sn Ge
5 1 4
direct
0.000 0.000 0.000
0.000 0.000 0.195
0.000 0.000 0.389
0.000 0.000 0.611
0.000 0.000 0.805
0.500 0.500 0.500
0.500 0.500 0.098
0.500 0.500 0.294
0.500 0.500 0.706
0.500 0.500 0.902
```

# 2
Material: Ho3Ga7Cu4
Method: DFT, PBE
State: relaxed

Summary:
Formation enthalpy at 0 K   -0.472 eV/atom
Crystal system   monoclinic

Geometry as POSCAR:
```
Ho3Ga7Cu4
1.0
7.766 -2.095 0.000
7.766 2.095 0.000
-5.666 0.000 7.492
Ho Ga Cu
3 7 4
direct
0.000 0.000 0.000
0.310 0.310 0.307
0.690 0.690 0.693
0.000 0.000 0.500
0.154 0.154 0.421
0.331 0.331 0.963
0.500 0.500 0.286
0.500 0.500 0.714
0.669 0.669 0.037
0.846 0.846 0.579
0.136 0.136 0.861
0.343 0.343 0.715
0.657 0.657 0.285
0.864 0.864 0.139
```

# 3
Material: Li2NiMo
Method: DFT, PBE
State: relaxed

Summary:
Formation enthalpy at 0 K   0.343 eV/atom
Crystal system   orthorhombic

Geometry as POSCAR:
```
Li2NiMo
1.0
2.539 0.000 0.000
0.000 4.351 0.000
0.000 0.000 4.878
Li Ni Mo
2 1 1
direct
0.000 0.000 0.238
0.000 0.000 0.762
0.500 0.500 0.000
0.500 0.500 0.500
```

# 4
Material: Sm2CuBiS5
Method: DFT, PBE
State: relaxed

Summary:
Crystal system   orthorhombic
E   -98.44 eV per cell

Geometry as POSCAR:
```
Sm2CuBiS5
1.0
1.963 -8.335 0.000
1.963 8.335 0.000
0.000 0.000 11.848
Sm Cu Bi S
4 2 2 10
direct
0.114 0.886 0.500
0.117 0.883 0.881
0.883 0.117 0.381
0.886 0.114 0.000
0.498 0.502 0.685
0.502 0.498 0.185
0.187 0.813 0.194
0.813 0.187 0.694
0.033 0.967 0.273
0.295 0.705 0.521
0.296 0.704 0.860
0.356 0.644 0.195
0.491 0.509 0.492
0.509 0.491 0.992
0.644 0.356 0.695
0.704 0.296 0.360
0.705 0.295 0.021
0.967 0.033 0.773
```

# 5
Material: La12PmCo7
Method: DFT, PBE
State: relaxed

Summary:
Formation enthalpy at 0 K   -0.092 eV/atom
Crystal system   trigonal

Geometry as POSCAR:
```
La12PmCo7
1.0
7.169 4.139 3.270
-7.169 4.139 3.270
0.000 -8.278 3.270
La Pm Co
12 1 7
direct
0.049 0.343 0.124
0.124 0.049 0.343
0.185 0.721 0.575
0.279 0.425 0.815
0.343 0.124 0.049
0.425 0.815 0.279
0.575 0.185 0.721
0.657 0.876 0.951
0.721 0.575 0.185
0.815 0.279 0.425
0.876 0.951 0.657
0.951 0.657 0.876
0.500 0.500 0.500
0.000 0.000 0.000
0.139 0.372 0.476
0.372 0.476 0.139
0.476 0.139 0.372
0.524 0.861 0.628
0.628 0.524 0.861
0.861 0.628 0.524
```

# 6
Material: LaTaMoOs
Method: DFT, PBE
State: relaxed

Summary:
Formation enthalpy at 0 K   0.300 eV/atom
Crystal system   triclinic

Geometry as POSCAR:
```
LaTaMoOs
1.0
4.369 0.000 0.000
2.178 3.990 0.000
2.180 1.333 5.492
La Ta Mo Os
1 1 1 1
direct
0.000 0.000 0.000
0.474 0.493 0.559
0.194 0.215 0.397
0.807 0.837 0.549
```

| no. | M_tot (μB/cell) |
| --- | --- |
| 1 | 0.0 |
| 2 | 0.0 |
| 3 | 0.0 |
| 4 | 0.0 |
| 5 | 0.0 |
| 6 | 0.0 |